The following is a DFT calculation (PBE) of a relaxed structure of MnFe2CoAu.

Computed properties:
Energy relative to the lowest polymorph listed for this composition in kcal/mol of atoms: 0.00
Formation enthalpy at 0 K in meV per atom: 847.3

Cell lengths 4.318, 4.318, 4.451 Å; angles 90.00, 90.00, 90.00 degrees
Atoms (fractional coordinates):
Mn (0.000, 0.000, 0.000)
Fe (0.000, 0.500, 0.500)
Fe (0.500, 0.000, 0.500)
Co (0.000, 0.000, 0.500)
Au (0.500, 0.500, 0.000)

***

The following is a DFT calculation (PBE) of a relaxed structure of LiLa3Pu3Se8.

Computed properties:
Formation energy from raw total energies in eV per atom: -1.68

Cell lengths 8.426, 8.426, 8.426 Å; angles 59.85, 59.85, 59.85 degrees
Atoms (fractional coordinates):
Li (0.000, 0.000, 0.000)
La (0.000, 0.000, 0.500)
La (0.000, 0.500, 0.000)
La (0.500, 0.000, 0.000)
Pu (0.000, 0.500, 0.500)
Pu (0.500, 0.000, 0.500)
Pu (0.500, 0.500, 0.000)
Se (0.244, 0.244, 0.749)
Se (0.244, 0.749, 0.244)
Se (0.251, 0.756, 0.756)
Se (0.254, 0.254, 0.254)
Se (0.746, 0.746, 0.746)
Se (0.749, 0.244, 0.244)
Se (0.756, 0.251, 0.756)
Se (0.756, 0.756, 0.251)

***

The following is a DFT calculation (PBE) of a relaxed structure of NaLi2N2.

Computed properties:
Formation energy from raw total energies in eV per atom: -0.03

Cell lengths 5.839, 5.839, 3.255 Å; angles 90.00, 90.00, 90.00 degrees
Atoms (fractional coordinates):
Na (0.000, 0.000, 0.000)
Na (0.500, 0.500, 0.000)
Li (0.145, 0.355, 0.500)
Li (0.355, 0.855, 0.500)
Li (0.645, 0.145, 0.500)
Li (0.855, 0.645, 0.500)
N (0.083, 0.583, 0.000)
N (0.417, 0.083, 0.000)
N (0.583, 0.917, 0.000)
N (0.917, 0.417, 0.000)

***

The following is a DFT calculation (PBE) of a relaxed structure of Sb2IrPb.

Computed properties:
Formation energy from raw total energies in eV per atom: 0.02

Cell lengths 4.856, 4.856, 6.589 Å; angles 108.18, 108.18, 46.38 degrees
Atoms (fractional coordinates):
Sb (0.000, 0.000, 0.000)
Sb (0.153, 0.153, 0.643)
Ir (0.693, 0.693, 0.945)
Pb (0.361, 0.361, 0.338)

***

The following is a DFT calculation (PBE) of a relaxed structure of TlGaRhO2.

Computed properties:
Formation energy from raw total energies in eV per atom: -0.27

Cell lengths 3.841, 3.841, 5.217 Å; angles 90.00, 90.00, 90.00 degrees
Atoms (fractional coordinates):
Tl (0.000, 0.000, 0.000)
Ga (0.500, 0.500, 0.500)
Rh (0.500, 0.500, 0.000)
O (0.000, 0.500, 0.500)
O (0.500, 0.000, 0.500)

***

The following is a DFT calculation (PBE) of a relaxed structure of NdTh3Co.

Computed properties:
Formation enthalpy at 0 K in meV per atom: 9.0

Cell lengths 5.367, 5.367, 5.367 Å; angles 90.00, 90.00, 90.00 degrees
Atoms (fractional coordinates):
Nd (0.000, 0.000, 0.000)
Th (0.000, 0.500, 0.500)
Th (0.500, 0.000, 0.500)
Th (0.500, 0.500, 0.000)
Co (0.500, 0.500, 0.500)

***

Total magnetic moment across the listed records, respectively: 11.1, 17.2, 0.8, 0.0, 0.8, 0.0 μB per cell.